# 1
# TmThTl, optimized geometry, DFT PBE-GGA
# Calculated volume   30.0 A^3/atom
# DOS at the Fermi energy   4.4 states/eV per cell
# Raw total energy   -4.728 eV/atom
# Mass density   11.2 g/cm³
# Energy of formation from the pure elements   7 kJ/mol of formula units
data_TmThTl
_chemical_formula_sum 'Tm1 Th1 Tl1'
_cell_length_a 5.3653
_cell_length_b 5.3653
_cell_length_c 3.6159
_cell_angle_alpha 90.00
_cell_angle_beta 90.00
_cell_angle_gamma 120.00
_space_group_name_H-M_alt 'P 3 m 1'
_space_group_IT_number 156
loop_
_space_group_symop_operation_xyz
'x,y,z'
'-y,x-y,z'
'-x+y,-x,z'
'-y,-x,z'
'-x+y,y,z'
'x,x-y,z'
loop_
_atom_site_label
_atom_site_type_symbol
_atom_site_fract_x
_atom_site_fract_y
_atom_site_fract_z
Tm1 Tm 0.0000 0.0000 0.0000
Th1 Th 0.3333 0.6667 0.5197
Tl1 Tl 0.6667 0.3333 0.0961

---

# 2
# ZnBW2, optimized geometry, DFT PBE-GGA
# Calculated volume   14.9 A^3/atom
# DOS at the Fermi energy   8.2 states/eV per cell
# Raw total energy   -7.417 eV/atom
# Mass density   12.3 g/cm³
# Energy of formation from the pure elements   404 kJ/mol of formula units
data_ZnBW2
_chemical_formula_sum 'Zn4 B4 W8'
_cell_length_a 3.696
_cell_length_b 3.696
_cell_length_c 17.506
_cell_angle_alpha 90.00
_cell_angle_beta 90.00
_cell_angle_gamma 90.00
_space_group_name_H-M_alt 'I -4 2 d'
_space_group_IT_number 122
_space_group_name_Hall 'I -4 2bw'
loop_
_atom_site_label
_atom_site_type_symbol
_atom_site_fract_x
_atom_site_fract_y
_atom_site_fract_z
Zn1 Zn 0.000 0.000 0.000
B1 B 0.000 0.000 0.500
W1 W 0.233 0.250 0.625

---

# 3
# Pa2Si4Ni3Mo, optimized geometry, DFT PBE-GGA
# Calculated volume   15.7 A^3/atom
# DOS at the Fermi energy   9.1 states/eV per cell
# Raw total energy   -7.555 eV/atom
# Mass density   9.0 g/cm³
# Energy relative to the elements, uncorrected   -0.67 eV per atom
data_Pa2Si4Ni3Mo
_chemical_formula_sum 'Pa2 Si4 Ni3 Mo1'
_cell_length_a 4.051
_cell_length_b 4.051
_cell_length_c 9.541
_cell_angle_alpha 90.00
_cell_angle_beta 90.00
_cell_angle_gamma 90.00
_space_group_name_H-M_alt 'P -4 m 2'
_space_group_IT_number 115
loop_
_space_group_symop_operation_xyz
'x,y,z'
'y,-x,-z'
'-x,-y,z'
'-y,x,-z'
'-x,y,z'
'-y,-x,-z'
'x,-y,z'
'y,x,-z'
loop_
_atom_site_label
_atom_site_type_symbol
_atom_site_fract_x
_atom_site_fract_y
_atom_site_fract_z
Pa1 Pa 0.000 0.500 0.247
Si1 Si 0.000 0.000 0.000
Si2 Si 0.000 0.500 0.644
Si3 Si 0.500 0.500 0.000
Ni1 Ni 0.000 0.500 0.884
Ni2 Ni 0.500 0.500 0.500
Mo1 Mo 0.000 0.000 0.500

---

# 4
# AcZnNi, optimized geometry, DFT PBE-GGA
# Calculated volume   25.0 A^3/atom
# DOS at the Fermi energy   11.7 states/eV per cell
# Raw total energy   -3.857 eV/atom
# Mass density   7.8 g/cm³
# Energy of formation from the pure elements   -39 kJ/mol of formula units
data_AcZnNi
_chemical_formula_sum 'Ac4 Zn4 Ni4'
_cell_length_a 6.691
_cell_length_b 6.691
_cell_length_c 6.691
_cell_angle_alpha 90.00
_cell_angle_beta 90.00
_cell_angle_gamma 90.00
_space_group_name_H-M_alt 'F -4 3 m'
_space_group_IT_number 216
_space_group_name_Hall 'F -4 2 3'
loop_
_atom_site_label
_atom_site_type_symbol
_atom_site_fract_x
_atom_site_fract_y
_atom_site_fract_z
Ac1 Ac 0.000 0.000 0.000
Zn1 Zn 0.000 0.000 0.500
Ni1 Ni 0.250 0.250 0.250

---

# 5
# Na2LiTbCl6, optimized geometry, DFT PBE-GGA
# Calculated volume   27.2 A^3/atom
# DOS at the Fermi energy   0.0 states/eV per cell
# Raw total energy   -3.903 eV/atom
# Mass density   2.6 g/cm³
# Energy relative to the elements, uncorrected   -1.88 eV per atom
data_Na2LiTbCl6
_chemical_formula_sum 'Na8 Li4 Tb4 Cl24'
_cell_length_a 10.290
_cell_length_b 10.290
_cell_length_c 10.290
_cell_angle_alpha 90.00
_cell_angle_beta 90.00
_cell_angle_gamma 90.00
_space_group_name_H-M_alt 'F m -3 m'
_space_group_IT_number 225
_space_group_name_Hall '-F 4 2 3'
loop_
_atom_site_label
_atom_site_type_symbol
_atom_site_fract_x
_atom_site_fract_y
_atom_site_fract_z
Na1 Na 0.250 0.250 0.250
Li1 Li 0.000 0.000 0.000
Tb1 Tb 0.000 0.000 0.500
Cl1 Cl 0.000 0.000 0.245

---

# 6
# SmTmMnGa, optimized geometry, DFT PBE-GGA
# Calculated volume   22.9 A^3/atom
# DOS at the Fermi energy   18.2 states/eV per cell
# Raw total energy   -5.494 eV/atom
# Mass density   8.1 g/cm³
# Energy of formation from the pure elements   -57 kJ/mol of formula units
data_SmTmMnGa
_chemical_formula_sum 'Sm4 Tm4 Mn4 Ga4'
_cell_length_a 7.152
_cell_length_b 7.152
_cell_length_c 7.152
_cell_angle_alpha 90.00
_cell_angle_beta 90.00
_cell_angle_gamma 90.00
_space_group_name_H-M_alt 'F -4 3 m'
_space_group_IT_number 216
_space_group_name_Hall 'F -4 2 3'
loop_
_atom_site_label
_atom_site_type_symbol
_atom_site_fract_x
_atom_site_fract_y
_atom_site_fract_z
Sm1 Sm 0.000 0.000 0.000
Tm1 Tm 0.000 0.000 0.500
Mn1 Mn 0.250 0.250 0.250
Ga1 Ga 0.250 0.250 0.750

---

# 7
# UNi8B4, optimized geometry, DFT PBE-GGA
# Calculated volume   10.0 A^3/atom
# DOS at the Fermi energy   20.0 states/eV per cell
# Raw total energy   -6.614 eV/atom
# Mass density   9.6 g/cm³
# Energy of formation from the pure elements   -167 kJ/mol of formula units
data_UNi8B4
_chemical_formula_sum 'U2 Ni16 B8'
_cell_length_a 7.563
_cell_length_b 7.563
_cell_length_c 4.547
_cell_angle_alpha 90.00
_cell_angle_beta 90.00
_cell_angle_gamma 90.00
_space_group_name_H-M_alt 'I 4/m m m'
_space_group_IT_number 139
_space_group_name_Hall '-I 4 2'
loop_
_atom_site_label
_atom_site_type_symbol
_atom_site_fract_x
_atom_site_fract_y
_atom_site_fract_z
U1 U 0.000 0.000 0.000
Ni1 Ni 0.000 0.226 0.500
Ni2 Ni 0.000 0.335 0.000
B1 B 0.250 0.250 0.250

---

# 8
# LaPmTe2Cl, optimized geometry, DFT PBE-GGA
# Calculated volume   30.1 A^3/atom
# DOS at the Fermi energy   3.2 states/eV per cell
# Raw total energy   -5.301 eV/atom
# Mass density   6.3 g/cm³
# Energy relative to the elements, uncorrected   -1.74 eV per atom
data_LaPmTe2Cl
_chemical_formula_sum 'La2 Pm2 Te4 Cl2'
_cell_length_a 4.454
_cell_length_b 4.454
_cell_length_c 15.174
_cell_angle_alpha 90.00
_cell_angle_beta 90.00
_cell_angle_gamma 90.00
_space_group_name_H-M_alt 'P 4/n m m'
_space_group_IT_number 129
loop_
_space_group_symop_operation_xyz
'x,y,z'
'-x,-y,-z'
'-y+1/2,x,z'
'y+1/2,-x,-z'
'-x+1/2,-y+1/2,z'
'x+1/2,y+1/2,-z'
'y,-x+1/2,z'
'-y,x+1/2,-z'
'x+1/2,-y,-z'
'-x+1/2,y,z'
'-y,-x,-z'
'y,x,z'
'-x,y+1/2,-z'
'x,-y+1/2,z'
'y+1/2,x+1/2,-z'
'-y+1/2,-x+1/2,z'
loop_
_atom_site_label
_atom_site_type_symbol
_atom_site_fract_x
_atom_site_fract_y
_atom_site_fract_z
La1 La 0.250 0.250 0.135
Pm1 Pm 0.250 0.250 0.587
Te1 Te 0.250 0.250 0.376
Te2 Te 0.250 0.250 0.798
Cl1 Cl 0.250 0.750 0.000

---

# 9
# Ba3DyPu2O9, optimized geometry, DFT PBE-GGA
# Calculated volume   16.9 A^3/atom
# DOS at the Fermi energy   8.8 states/eV per cell
# Raw total energy   -8.607 eV/atom
# Mass density   7.9 g/cm³
# Energy relative to the elements, uncorrected   -3.03 eV per atom
data_Ba3DyPu2O9
_chemical_formula_sum 'Ba3 Dy1 Pu2 O9'
_cell_length_a 6.2073
_cell_length_b 6.2073
_cell_length_c 7.6084
_cell_angle_alpha 90.00
_cell_angle_beta 90.00
_cell_angle_gamma 120.00
_space_group_name_H-M_alt 'P -3 m 1'
_space_group_IT_number 164
_space_group_name_Hall '-P 3 2"'
loop_
_atom_site_label
_atom_site_type_symbol
_atom_site_fract_x
_atom_site_fract_y
_atom_site_fract_z
Ba1 Ba 0.0000 0.0000 0.0000
Ba2 Ba 0.3333 0.6667 0.6579
Dy1 Dy 0.0000 0.0000 0.5000
Pu1 Pu 0.3333 0.6667 0.1661
O1 O 0.0000 0.5000 0.0000
O2 O 0.1705 0.3411 0.3292

---

# 10
# SmGdGaCu, optimized geometry, DFT PBE-GGA
# Calculated volume   23.2 A^3/atom
# DOS at the Fermi energy   13.9 states/eV per cell
# Raw total energy   -6.865 eV/atom
# Mass density   7.9 g/cm³
# Energy of formation from the pure elements   -148 kJ/mol of formula units
data_SmGdGaCu
_chemical_formula_sum 'Sm4 Gd4 Ga4 Cu4'
_cell_length_a 7.188
_cell_length_b 7.188
_cell_length_c 7.188
_cell_angle_alpha 90.00
_cell_angle_beta 90.00
_cell_angle_gamma 90.00
_space_group_name_H-M_alt 'F -4 3 m'
_space_group_IT_number 216
_space_group_name_Hall 'F -4 2 3'
loop_
_atom_site_label
_atom_site_type_symbol
_atom_site_fract_x
_atom_site_fract_y
_atom_site_fract_z
Sm1 Sm 0.000 0.000 0.000
Gd1 Gd 0.000 0.000 0.500
Ga1 Ga 0.250 0.250 0.750
Cu1 Cu 0.250 0.250 0.250

---

# 11
# LiSb2As2, optimized geometry, DFT PBE-GGA
# Calculated volume   24.7 A^3/atom
# DOS at the Fermi energy   4.6 states/eV per cell
# Raw total energy   -3.835 eV/atom
# Mass density   5.4 g/cm³
# Energy relative to the elements, uncorrected   0.06 eV per atom
data_LiSb2As2
_chemical_formula_sum 'Li2 Sb4 As4'
_cell_length_a 8.024
_cell_length_b 8.024
_cell_length_c 3.829
_cell_angle_alpha 90.00
_cell_angle_beta 90.00
_cell_angle_gamma 90.00
_space_group_name_H-M_alt 'P 4/m b m'
_space_group_IT_number 127
_space_group_name_Hall '-P 4 2ab'
loop_
_atom_site_label
_atom_site_type_symbol
_atom_site_fract_x
_atom_site_fract_y
_atom_site_fract_z
Li1 Li 0.000 0.000 0.000
Sb1 Sb 0.159 0.341 0.000
As1 As 0.173 0.673 0.500

---

# 12
# Pr6C2S3O, optimized geometry, DFT PBE-GGA
# Calculated volume   21.7 A^3/atom
# DOS at the Fermi energy   7.8 states/eV per cell
# Raw total energy   -6.889 eV/atom
# Mass density   6.3 g/cm³
# Energy relative to the elements, uncorrected   -1.52 eV per atom
data_Pr6C2S3O
_chemical_formula_sum 'Pr12 C4 S6 O2'
_cell_length_a 17.372
_cell_length_b 3.895
_cell_length_c 7.994
_cell_angle_alpha 90.00
_cell_angle_beta 105.75
_cell_angle_gamma 90.00
_space_group_name_H-M_alt 'C 1 2/m 1'
_space_group_IT_number 12
loop_
_space_group_symop_operation_xyz
'x,y,z'
'-x,-y,-z'
'-x,y,-z'
'x,-y,z'
'x+1/2,y+1/2,z'
'-x+1/2,-y+1/2,-z'
'-x+1/2,y+1/2,-z'
'x+1/2,-y+1/2,z'
loop_
_atom_site_label
_atom_site_type_symbol
_atom_site_fract_x
_atom_site_fract_y
_atom_site_fract_z
Pr1 Pr 0.010 0.000 0.237
Pr2 Pr 0.161 0.500 0.104
Pr3 Pr 0.174 0.500 0.565
C1 C 0.162 0.000 0.326
S1 S 0.000 0.500 0.500
S2 S 0.167 0.000 0.833
O1 O 0.000 0.500 0.000

---

# 13
# RbBaCr2, optimized geometry, DFT PBE-GGA
# Calculated volume   27.3 A^3/atom
# DOS at the Fermi energy   68.5 states/eV per cell
# Raw total energy   -3.135 eV/atom
# Mass density   5.0 g/cm³
# Energy of formation from the pure elements   926 kJ/mol of formula units
data_RbBaCr2
_chemical_formula_sum 'Rb4 Ba4 Cr8'
_cell_length_a 7.588
_cell_length_b 7.588
_cell_length_c 7.588
_cell_angle_alpha 90.00
_cell_angle_beta 90.00
_cell_angle_gamma 90.00
_space_group_name_H-M_alt 'F m -3 m'
_space_group_IT_number 225
_space_group_name_Hall '-F 4 2 3'
loop_
_atom_site_label
_atom_site_type_symbol
_atom_site_fract_x
_atom_site_fract_y
_atom_site_fract_z
Rb1 Rb 0.000 0.000 0.000
Ba1 Ba 0.000 0.000 0.500
Cr1 Cr 0.250 0.250 0.250